{"formula": "K2ZrOsBr", "functional": "GGA-PBE", "state": "relaxed", "vol_a3_per_cell": 200, "raw_formation_energy_ev_per_fu": 7.3, "spacegroup": "P4/mmm (123)", "cell": [[-5.060, -3.830, -1.893], [2.359, -3.713, 1.209], [-2.555, 0.362, 6.098]], "species": ["Os", "K", "K", "Br", "Zr"], "frac_coords": [[0.000, 0.000, 0.000], [0.500, 0.000, 0.000], [0.000, 0.000, 0.500], [0.000, 0.500, 0.000], [0.500, 0.500, 0.500]]}

=====

{"formula": "CoSbWI2", "functional": "GGA-PBE", "state": "relaxed", "vol_a3_per_cell": 130, "raw_formation_energy_ev_per_fu": 7.1, "spacegroup": "P4/mmm (123)", "cell": [[5.084, 0.000, 0.000], [0.000, 5.084, 0.000], [0.000, 0.000, 5.012]], "species": ["I", "I", "Co", "W", "Sb"], "frac_coords": [[0.500, 0.000, 0.000], [0.000, 0.500, 0.000], [0.000, 0.000, 0.000], [0.500, 0.500, 0.500], [0.000, 0.000, 0.500]]}

=====

{"formula": "YAuCl", "functional": "GGA-PBE", "state": "relaxed", "vol_a3_per_cell": 80, "raw_formation_energy_ev_per_fu": -3.2, "spacegroup": "I4mm (107)", "cell": [[7.282, 0.031, -0.033], [6.463, 3.355, -0.022], [0.819, 0.190, 3.319]], "species": ["Cl", "Au", "Y"], "frac_coords": [[0.289, 0.289, 0.711], [0.041, 0.041, 0.959], [0.671, 0.671, 0.329]]}

=====

{"formula": "Na2MoOsCl", "functional": "GGA-PBE", "state": "relaxed", "vol_a3_per_cell": 153, "raw_formation_energy_ev_per_fu": 4.5, "spacegroup": "P4/mmm (123)", "cell": [[5.739, 0.000, 0.000], [0.000, 4.630, 0.000], [0.000, 0.000, 5.739]], "species": ["Na", "Na", "Cl", "Os", "Mo"], "frac_coords": [[0.500, 0.000, 0.000], [0.000, 0.000, 0.500], [0.500, 0.500, 0.500], [0.000, 0.000, 0.000], [0.000, 0.500, 0.000]]}

=====

{"formula": "Sr2LiYH", "functional": "GGA-PBE", "state": "relaxed", "vol_a3_per_cell": 155, "spacegroup": "P4/mmm (123)", "total_energy_ev_per_atom": -3.019, "cell": [[5.947, 0.000, 0.000], [0.000, 5.947, 0.000], [0.000, 0.000, 4.394]], "species": ["Sr", "Sr", "Y", "Li", "H"], "frac_coords": [[0.500, 0.000, 0.000], [0.000, 0.500, 0.000], [0.000, 0.000, 0.500], [0.500, 0.500, 0.500], [0.000, 0.000, 0.000]]}

=====

{"formula": "Ac3Zn", "functional": "GGA-PBE", "state": "relaxed", "vol_a3_per_cell": 163, "spacegroup": "Pmm2 (25)", "ef_mev_per_atom": 101, "cell": [[3.941, 0.000, 0.000], [0.000, 3.959, 0.000], [0.000, 0.000, 10.436]], "species": ["Ac", "Ac", "Ac", "Zn"], "frac_coords": [[0.500, 0.500, 0.141], [0.000, 0.500, 0.466], [0.500, 0.000, 0.739], [0.000, 0.000, 0.987]]}

=====

{"formula": "CaScOs2", "functional": "GGA-PBE", "state": "relaxed", "vol_a3_per_cell": 72, "spacegroup": "Cmmm (65)", "ef_mev_per_atom": 396, "cell": [[-3.867, -3.208, -1.510], [4.224, -3.049, 0.620], [-0.681, -0.411, 2.616]], "species": ["Ca", "Os", "Os", "Sc"], "frac_coords": [[0.000, 0.500, 0.500], [0.000, 0.000, 0.000], [0.500, 0.500, 0.000], [0.500, 0.000, 0.500]]}

=====

{"formula": "KLi2Ag9", "functional": "GGA-PBE", "state": "relaxed", "vol_a3_per_cell": 224, "spacegroup": "P6/mmm (191)", "ef_mev_per_atom": -18, "cell": [[-1.997, 2.167, 0.240], [-2.174, -1.002, -9.051], [-4.588, -4.946, 6.491]], "species": ["Ag", "Ag", "Ag", "Ag", "Ag", "Ag", "Ag", "Ag", "Ag", "Li", "Li", "K"], "frac_coords": [[0.500, 0.188, 0.812], [0.000, 0.500, 0.500], [0.500, 0.623, 0.812], [0.500, 0.188, 0.377], [0.500, 0.812, 0.188], [0.000, 0.000, 0.500], [0.500, 0.377, 0.188], [0.000, 0.500, 0.000], [0.500, 0.812, 0.623], [0.000, 0.333, 0.667], [0.000, 0.667, 0.333], [0.000, 0.000, 0.000]]}